1.
10
Lattice="8.6089 0.0000 0.0000 0.0000 8.6089 0.0000 0.0000 0.0000 3.4859" Properties=species:S:1:pos:R:3 comment="PBE Si2SbBr2, relaxed" sg="No. 127" total_magnetization_mub_per_fu=0.00 polymorph_energy_ev_per_atom=0.000 e_form_raw_ev_per_atom=0.307 n_ef_per_ev_cell=2.49 pbc="T T T"
Si 1.8985 2.4059 0.0000
Si 2.4059 6.7104 0.0000
Si 6.2030 1.8985 0.0000
Si 6.7104 6.2030 0.0000
Sb 0.0000 0.0000 0.0000
Sb 4.3045 4.3045 0.0000
Br 1.1382 5.4427 1.7430
Br 3.1662 1.1382 1.7430
Br 5.4427 7.4707 1.7430
Br 7.4707 3.1662 1.7430

=====

2.
4
Lattice="1.7003 -3.0626 0.0000 1.7003 3.0626 0.0000 0.0000 0.0000 10.4333" Properties=species:S:1:pos:R:3 comment="PBE SiSbBr2, relaxed" sg="No. 35" total_magnetization_mub_per_fu=0.00 polymorph_energy_ev_per_atom=0.452 e_form_raw_ev_per_atom=0.223 n_ef_per_ev_cell=2.06 pbc="T T T"
Si 0.0000 0.0000 0.0000
Sb 1.7003 0.0000 2.5953
Br 0.0000 0.0000 4.8986
Br 1.7003 0.0000 8.5009

=====

3.
4
Lattice="-1.9616 1.9616 6.2276 1.9616 -1.9616 6.2276 1.9616 1.9616 -6.2276" Properties=species:S:1:pos:R:3 comment="PBE Si2SbBr, relaxed" sg="No. 119" total_magnetization_mub_per_fu=0.00 polymorph_energy_ev_per_atom=0.607 e_form_raw_ev_per_atom=0.651 n_ef_per_ev_cell=2.72 pbc="T T T"
Si 0.0000 0.0000 0.0000
Si 0.0000 1.9616 3.1138
Sb 0.0000 0.0000 6.2276
Br 1.9616 0.0000 3.1138